A plane-wave DFT calculation with PBE was carried out for an optimized crystal structure of BaCa2Zn.

Properties
The calculation puts the volume at 161 Å³/cell. The value obtained for the density of states at the Fermi level is 1.1813 states/eV per atom. The space group is No. 160. The formation energy comes out at -0.011 eV/atom.

Lattice parameters (Å, degrees): 4.115 4.115 11.225 79.44 79.44 60.00
Sites, in units of the cell vectors:
Zn (0.667, 0.667, 0.000)
Ca (0.273, 0.273, 0.181)
Ca (0.060, 0.060, 0.819)
Ba (0.500, 0.500, 0.499)